A relaxed structure of MnCoNi, computed with PBE-GGA.

The structure belongs to space group P-6m2 (No. 187); the cell edges are 3.9651, 3.9651 and 2.3917 Å and the angles 90.00°, 90.00° and 120.00°. The inequivalent atoms are Mn at (0.0000, 0.0000, 0.0000), Co at (0.6667, 0.3333, 0.5000) and Ni at (0.3333, 0.6667, 0.5000).

The calculated formation energy is 170 meV/atom. The calculation puts the raw total energy at -7.18 eV/atom.

A relaxed structure of Tl2InRuF, computed with PBE-GGA.

The structure belongs to space group P4/mmm (No. 123); the cell edges are 5.481, 5.481 and 4.068 Å and the angles 90.00°, 90.00° and 90.00°. The inequivalent atoms are Tl at (0.000, 0.500, 0.000), In at (0.000, 0.000, 0.500), Ru at (0.500, 0.500, 0.000) and F at (0.500, 0.500, 0.500).

The calculation puts the raw formation energy at -0.085 eV per atom. The calculation puts the raw total energy at -3.81 eV/atom.

A relaxed structure of HfTaCd3, computed with PBE-GGA.

The structure belongs to space group Pm-3m (No. 221); the cell edges are 5.185, 5.185 and 5.185 Å and the angles 90.00°, 90.00° and 90.00°. The inequivalent atoms are Hf at (0.000, 0.000, 0.000), Ta at (0.500, 0.500, 0.500) and Cd at (0.000, 0.500, 0.500).

The calculated formation energy is 1467 meV/atom. The calculation puts the raw total energy at -3.44 eV/atom.

A relaxed structure of Dy2Be3ZnCu12, computed with PBE-GGA.

The structure belongs to space group R-3m (No. 166, hexagonal axes); the cell edges are 7.5075, 7.5075 and 17.4226 Å and the angles 90.00°, 90.00° and 120.00°. The inequivalent atoms are Dy at (0.0000, 0.0000, 0.1026), Be at (0.0000, 0.5000, 0.0000), Zn at (0.0000, 0.0000, 0.5000), Cu at (0.0148, 0.5074, 0.8777) and Cu at (0.0400, 0.5200, 0.3591).

The calculated formation energy is 306 meV/atom. The calculation puts the raw total energy at -3.63 eV/atom.

A relaxed structure of Pu2NpSb3, computed with PBE-GGA.

The structure belongs to space group Immm (No. 71); the cell edges are 4.073, 4.797 and 16.954 Å and the angles 90.00°, 90.00° and 90.00°. The inequivalent atoms are Pu at (0.000, 0.000, 0.155), Np at (0.000, 0.500, 0.000), Sb at (0.000, 0.000, 0.339) and Sb at (0.000, 0.500, 0.500).

The calculation puts the raw formation energy at -0.432 eV per atom. The calculation puts the raw total energy at -9.43 eV/atom.

A relaxed structure of Tb2SmBi, computed with PBE-GGA.

The structure belongs to space group R3m (No. 160, hexagonal axes); the cell edges are 4.0682, 4.0682 and 28.8641 Å and the angles 90.00°, 90.00° and 120.00°. The inequivalent atoms are Tb at (0.0000, 0.0000, 0.0000), Tb at (0.0000, 0.0000, 0.1938), Sm at (0.0000, 0.0000, 0.7632) and Bi at (0.0000, 0.0000, 0.5972).

The calculated formation energy is -181 meV/atom. The calculation puts the raw total energy at -4.65 eV/atom.

A relaxed structure of LaGe3Ir3, computed with PBE-GGA.

The structure belongs to space group R-3 (No. 148, hexagonal axes); the cell edges are 6.9147, 6.9147 and 21.7114 Å and the angles 90.00°, 90.00° and 120.00°. The inequivalent atoms are La at (0.0000, 0.0000, 0.1698), Ge at (0.0262, 0.6051, 0.0592) and Ir at (0.0110, 0.7609, 0.9463).

The calculated formation energy is -440 meV/atom. The calculation puts the raw total energy at -6.92 eV/atom.

A relaxed structure of CaLa2YRu, computed with PBE-GGA.

The structure belongs to space group P4/mmm (No. 123); the cell edges are 5.579, 5.579 and 5.610 Å and the angles 90.00°, 90.00° and 90.00°. The inequivalent atoms are Ca at (0.000, 0.000, 0.000), La at (0.000, 0.500, 0.500), Y at (0.500, 0.500, 0.000) and Ru at (0.500, 0.500, 0.500).

The calculated formation energy is -160 meV/atom. The calculation puts the raw total energy at -5.68 eV/atom.

A relaxed structure of Hf3TiSe, computed with PBE-GGA.

The structure belongs to space group Pm-3m (No. 221); the cell edges are 4.899, 4.899 and 4.899 Å and the angles 90.00°, 90.00° and 90.00°. The inequivalent atoms are Hf at (0.000, 0.000, 0.500), Ti at (0.500, 0.500, 0.500) and Se at (0.000, 0.000, 0.000).

The calculation puts the raw formation energy at 0.183 eV per atom. The calculation puts the raw total energy at -8.07 eV/atom.

A relaxed structure of U2FeOs, computed with PBE-GGA.

The structure belongs to space group P4/mmm (No. 123); the cell edges are 3.400, 3.400 and 6.106 Å and the angles 90.00°, 90.00° and 90.00°. The inequivalent atoms are U at (0.000, 0.000, 0.212), Fe at (0.500, 0.500, 0.000) and Os at (0.500, 0.500, 0.500).

The calculated formation energy is 74 meV/atom. The calculation puts the raw total energy at -10.49 eV/atom.

A relaxed structure of ThSeCl, computed with PBE-GGA.

The structure belongs to space group I4mm (No. 107); the cell edges are 3.595, 3.595 and 13.648 Å and the angles 90.00°, 90.00° and 90.00°. The inequivalent atoms are Th at (0.000, 0.000, 0.000), Se at (0.000, 0.000, 0.385) and Cl at (0.000, 0.000, 0.628).

The calculation puts the raw formation energy at -1.667 eV per atom. The calculation puts the raw total energy at -5.92 eV/atom.

A relaxed structure of TaSiTe2Cl, computed with PBE-GGA.

The structure belongs to space group P4/mmm (No. 123); the cell edges are 5.187, 5.187 and 4.511 Å and the angles 90.00°, 90.00° and 90.00°. The inequivalent atoms are Ta at (0.000, 0.000, 0.000), Si at (0.500, 0.500, 0.000), Te at (0.000, 0.500, 0.500) and Cl at (0.500, 0.500, 0.500).

The calculation puts the raw formation energy at 1.377 eV per atom. The calculation puts the raw total energy at -3.70 eV/atom.